A plane-wave DFT calculation with GGA-PBE was carried out for a relaxed structure of Rb2NaGe2Cl7.

Unit cell a=7.491 b=7.525 c=13.798 alpha=90.00 beta=103.69 gamma=90.00
Space group C2/m (No. 12)
One atom of each set of equivalent atoms:
Rb (0.179, 0.000, 0.361)
Na (0.000, 0.000, 0.000)
Ge (0.113, 0.500, 0.197)
Cl (0.000, 0.500, 0.000)
Cl (0.164, 0.235, 0.815)
Cl (0.206, 0.500, 0.395)

Results
Formation energy from raw total energies = -1.311 eV/atom



A plane-wave DFT calculation with GGA-PBE was carried out for a relaxed structure of Zn8NiPt2.

Unit cell a=4.148 b=6.881 c=11.298 alpha=90.00 beta=90.00 gamma=90.00
Space group Immm (No. 71)
One atom of each set of equivalent atoms:
Zn (0.000, 0.000, 0.142)
Zn (0.000, 0.212, 0.358)
Zn (0.000, 0.306, 0.000)
Ni (0.000, 0.500, 0.500)
Pt (0.000, 0.500, 0.206)

Results
DFT formation energy = -310 meV/atom